#P
# Zn2NiH (PBE, optimized geometry)
# V in A^3/atom: 11.64
data_Zn2NiH
_cell_length_a 4.038
_cell_length_b 4.038
_cell_length_c 4.038
_cell_angle_alpha 60.00
_cell_angle_beta 60.00
_cell_angle_gamma 60.00
_space_group_name_H-M_alt 'P 1'
_space_group_IT_number 1
loop_
_space_group_symop_operation_xyz
'x,y,z'
loop_
_atom_site_label
_atom_site_type_symbol
_atom_site_fract_x
_atom_site_fract_y
_atom_site_fract_z
Ni1 Ni 0.500 0.500 0.500
Zn1 Zn 0.250 0.250 0.250
Zn2 Zn 0.750 0.750 0.750
H1 H 0.000 0.000 0.000

#Q
# Zn2NiH (PBE, optimized geometry)
# V in A^3/atom: 10.95
data_Zn2NiH
_cell_length_a 5.979
_cell_length_b 5.979
_cell_length_c 4.887
_cell_angle_alpha 52.29
_cell_angle_beta 52.29
_cell_angle_gamma 90.00
_space_group_name_H-M_alt 'P 1'
_space_group_IT_number 1
loop_
_space_group_symop_operation_xyz
'x,y,z'
loop_
_atom_site_label
_atom_site_type_symbol
_atom_site_fract_x
_atom_site_fract_y
_atom_site_fract_z
Ni1 Ni 0.000 0.000 0.000
Ni2 Ni 0.750 0.250 0.500
Zn1 Zn 0.553 0.125 0.250
Zn2 Zn 0.197 0.625 0.250
Zn3 Zn 0.375 0.447 0.750
Zn4 Zn 0.875 0.803 0.750
H1 H 0.500 0.500 0.000
H2 H 0.250 0.750 0.500

Most stable to least stable, the ends of the list are #Q and #P.

#P
# ZrNi3H (PBE, optimized geometry)
# V in A^3/atom: 20.43
data_ZrNi3H
_cell_length_a 4.675
_cell_length_b 4.675
_cell_length_c 4.675
_cell_angle_alpha 90.00
_cell_angle_beta 90.00
_cell_angle_gamma 90.00
_space_group_name_H-M_alt 'P 1'
_space_group_IT_number 1
loop_
_space_group_symop_operation_xyz
'x,y,z'
loop_
_atom_site_label
_atom_site_type_symbol
_atom_site_fract_x
_atom_site_fract_y
_atom_site_fract_z
Ni1 Ni 0.000 0.500 0.000
Ni2 Ni 0.000 0.000 0.500
Ni3 Ni 0.500 0.000 0.000
Zr1 Zr 0.000 0.000 0.000
H1 H 0.500 0.500 0.500

#Q
# ZrNi3H (PBE, optimized geometry)
# V in A^3/atom: 11.21
data_ZrNi3H
_cell_length_a 5.341
_cell_length_b 5.353
_cell_length_c 5.335
_cell_angle_alpha 120.26
_cell_angle_beta 112.38
_cell_angle_gamma 59.76
_space_group_name_H-M_alt 'P 1'
_space_group_IT_number 1
loop_
_space_group_symop_operation_xyz
'x,y,z'
loop_
_atom_site_label
_atom_site_type_symbol
_atom_site_fract_x
_atom_site_fract_y
_atom_site_fract_z
Zr1 Zr 0.501 0.612 0.907
Zr2 Zr 0.958 0.148 0.435
Ni1 Ni 0.949 0.667 0.453
Ni2 Ni 0.445 0.133 0.388
Ni3 Ni 0.016 0.130 0.953
Ni4 Ni 0.438 0.627 0.383
Ni5 Ni 0.510 0.104 0.891
Ni6 Ni 0.022 0.623 0.959
H1 H 0.728 0.667 0.673
H2 H 0.199 0.398 0.202

#R
# ZrNi3H (PBE, optimized geometry)
# V in A^3/atom: 11.17
data_ZrNi3H
_cell_length_a 3.822
_cell_length_b 3.822
_cell_length_c 3.822
_cell_angle_alpha 90.00
_cell_angle_beta 90.00
_cell_angle_gamma 90.00
_space_group_name_H-M_alt 'P 1'
_space_group_IT_number 1
loop_
_space_group_symop_operation_xyz
'x,y,z'
loop_
_atom_site_label
_atom_site_type_symbol
_atom_site_fract_x
_atom_site_fract_y
_atom_site_fract_z
Ni1 Ni 0.000 0.500 0.000
Ni2 Ni 0.000 0.000 0.500
Ni3 Ni 0.500 0.000 0.000
Zr1 Zr 0.500 0.500 0.500
H1 H 0.000 0.000 0.000

Most stable to least stable, the ends of the list are #Q and #P.

#P
# Zr2NiH2 (PBE, optimized geometry)
# V in A^3/atom: 12.28
data_Zr2NiH2
_cell_length_a 3.197
_cell_length_b 3.197
_cell_length_c 6.419
_cell_angle_alpha 75.58
_cell_angle_beta 75.58
_cell_angle_gamma 90.00
_space_group_name_H-M_alt 'P 1'
_space_group_IT_number 1
loop_
_space_group_symop_operation_xyz
'x,y,z'
loop_
_atom_site_label
_atom_site_type_symbol
_atom_site_fract_x
_atom_site_fract_y
_atom_site_fract_z
Ni1 Ni 0.000 0.000 0.000
Zr1 Zr 0.364 0.364 0.272
Zr2 Zr 0.636 0.636 0.728
H1 H 0.750 0.250 0.500
H2 H 0.250 0.750 0.500

#Q
# Zr2NiH2 (PBE, optimized geometry)
# V in A^3/atom: 11.86
data_Zr2NiH2
_cell_length_a 6.324
_cell_length_b 6.324
_cell_length_c 2.965
_cell_angle_alpha 90.00
_cell_angle_beta 90.00
_cell_angle_gamma 90.00
_space_group_name_H-M_alt 'P 1'
_space_group_IT_number 1
loop_
_space_group_symop_operation_xyz
'x,y,z'
loop_
_atom_site_label
_atom_site_type_symbol
_atom_site_fract_x
_atom_site_fract_y
_atom_site_fract_z
Ni1 Ni 0.000 0.000 0.000
Ni2 Ni 0.500 0.500 0.000
Zr1 Zr 0.177 0.677 0.500
Zr2 Zr 0.677 0.823 0.500
Zr3 Zr 0.823 0.323 0.500
Zr4 Zr 0.323 0.177 0.500
H1 H 0.378 0.878 0.000
H2 H 0.878 0.622 0.000
H3 H 0.622 0.122 0.000
H4 H 0.122 0.378 0.000

Most stable to least stable, the ends of the list are #P and #Q.

#P
# ZrNi2H8 (PBE, optimized geometry)
# V in A^3/atom: 6.70
data_ZrNi2H8
_cell_length_a 4.135
_cell_length_b 4.135
_cell_length_c 4.311
_cell_angle_alpha 90.00
_cell_angle_beta 90.00
_cell_angle_gamma 90.00
_space_group_name_H-M_alt 'P 1'
_space_group_IT_number 1
loop_
_space_group_symop_operation_xyz
'x,y,z'
loop_
_atom_site_label
_atom_site_type_symbol
_atom_site_fract_x
_atom_site_fract_y
_atom_site_fract_z
Zr1 Zr 0.500 0.500 0.500
Ni1 Ni 0.500 0.000 0.000
Ni2 Ni 0.000 0.500 0.000
H1 H 0.778 0.778 0.214
H2 H 0.778 0.222 0.786
H3 H 0.778 0.778 0.786
H4 H 0.778 0.222 0.214
H5 H 0.222 0.778 0.214
H6 H 0.222 0.778 0.786
H7 H 0.222 0.222 0.214
H8 H 0.222 0.222 0.786

#Q
# ZrNi2H8 (PBE, optimized geometry)
# V in A^3/atom: 7.00
data_ZrNi2H8
_cell_length_a 3.387
_cell_length_b 5.062
_cell_length_c 5.062
_cell_angle_alpha 85.59
_cell_angle_beta 109.56
_cell_angle_gamma 109.56
_space_group_name_H-M_alt 'P 1'
_space_group_IT_number 1
loop_
_space_group_symop_operation_xyz
'x,y,z'
loop_
_atom_site_label
_atom_site_type_symbol
_atom_site_fract_x
_atom_site_fract_y
_atom_site_fract_z
Zr1 Zr 0.500 0.000 0.000
Ni1 Ni 0.000 0.314 0.686
Ni2 Ni 0.000 0.686 0.314
H1 H 0.846 0.984 0.707
H2 H 0.846 0.707 0.984
H3 H 0.164 0.663 0.663
H4 H 0.500 0.693 0.307
H5 H 0.500 0.307 0.693
H6 H 0.836 0.337 0.337
H7 H 0.154 0.293 0.016
H8 H 0.154 0.016 0.293

Most stable to least stable, the ends of the list are #Q and #P.

#P
# ZrNi2H2 (PBE, optimized geometry)
# V in A^3/atom: 10.41
data_ZrNi2H2
_cell_length_a 5.488
_cell_length_b 5.488
_cell_length_c 3.456
_cell_angle_alpha 90.00
_cell_angle_beta 90.00
_cell_angle_gamma 90.00
_space_group_name_H-M_alt 'P 1'
_space_group_IT_number 1
loop_
_space_group_symop_operation_xyz
'x,y,z'
loop_
_atom_site_label
_atom_site_type_symbol
_atom_site_fract_x
_atom_site_fract_y
_atom_site_fract_z
Ni1 Ni 0.153 0.653 0.500
Ni2 Ni 0.653 0.847 0.500
Ni3 Ni 0.847 0.347 0.500
Ni4 Ni 0.347 0.153 0.500
Zr1 Zr 0.000 0.000 0.000
Zr2 Zr 0.500 0.500 0.000
H1 H 0.145 0.645 0.000
H2 H 0.645 0.855 0.000
H3 H 0.855 0.355 0.000
H4 H 0.355 0.145 0.000

#Q
# ZrNi2H2 (PBE, optimized geometry)
# V in A^3/atom: 9.51
data_ZrNi2H2
_cell_length_a 3.417
_cell_length_b 3.417
_cell_length_c 4.737
_cell_angle_alpha 68.86
_cell_angle_beta 68.86
_cell_angle_gamma 90.00
_space_group_name_H-M_alt 'P 1'
_space_group_IT_number 1
loop_
_space_group_symop_operation_xyz
'x,y,z'
loop_
_atom_site_label
_atom_site_type_symbol
_atom_site_fract_x
_atom_site_fract_y
_atom_site_fract_z
Ni1 Ni 0.331 0.331 0.337
Ni2 Ni 0.669 0.669 0.663
Zr1 Zr 0.000 0.000 0.000
H1 H 0.750 0.250 0.500
H2 H 0.250 0.750 0.500

Most stable to least stable, the ends of the list are #Q and #P.

#P
# ZrNi2H (PBE, optimized geometry)
# V in A^3/atom: 12.86
data_ZrNi2H
_cell_length_a 4.175
_cell_length_b 4.175
_cell_length_c 4.175
_cell_angle_alpha 60.00
_cell_angle_beta 60.00
_cell_angle_gamma 60.00
_space_group_name_H-M_alt 'P 1'
_space_group_IT_number 1
loop_
_space_group_symop_operation_xyz
'x,y,z'
loop_
_atom_site_label
_atom_site_type_symbol
_atom_site_fract_x
_atom_site_fract_y
_atom_site_fract_z
Ni1 Ni 0.250 0.250 0.250
Ni2 Ni 0.750 0.750 0.750
Zr1 Zr 0.500 0.500 0.500
H1 H 0.000 0.000 0.000

#Q
# ZrNi2H (PBE, optimized geometry)
# V in A^3/atom: 11.78
data_ZrNi2H
_cell_length_a 5.113
_cell_length_b 5.113
_cell_length_c 5.106
_cell_angle_alpha 59.95
_cell_angle_beta 59.95
_cell_angle_gamma 90.00
_space_group_name_H-M_alt 'P 1'
_space_group_IT_number 1
loop_
_space_group_symop_operation_xyz
'x,y,z'
loop_
_atom_site_label
_atom_site_type_symbol
_atom_site_fract_x
_atom_site_fract_y
_atom_site_fract_z
Ni1 Ni 0.374 0.125 0.250
Ni2 Ni 0.376 0.625 0.250
Ni3 Ni 0.375 0.626 0.750
Ni4 Ni 0.875 0.624 0.750
Zr1 Zr 0.000 0.000 0.000
Zr2 Zr 0.750 0.250 0.500
H1 H 0.500 0.500 0.000
H2 H 0.250 0.750 0.500

Most stable to least stable, the ends of the list are #Q and #P.